Computed, not measured: crystalline Tb2CdS4 at its relaxed geometry at the PBE-GGA level of DFT.

The structure belongs to space group Fd-3m (No. 227, origin choice 2); the cell edges are 11.338, 11.338 and 11.338 Å and the angles 90.00°, 90.00° and 90.00°. The inequivalent atoms are Tb at (0.000, 0.000, 0.000), Cd at (0.125, 0.125, 0.625) and S at (0.007, 0.007, 0.243).

For the mass density, the calculation gives 5.1 g/cm3. The formation energy (no corrections) comes out at -1663.7 meV per atom.


Computed, not measured: crystalline Tb2CdS4 at its relaxed geometry at the PBE-GGA level of DFT.

The structure belongs to space group C2/m (No. 12); the cell edges are 14.399, 3.987 and 6.936 Å and the angles 90.00°, 118.72° and 90.00°. The inequivalent atoms are Tb at (0.226, 0.000, 0.218), Cd at (0.000, 0.500, 0.500), S at (0.124, 0.500, 0.931) and S at (0.139, 0.000, 0.495).

For the mass density, the calculation gives 5.3 g/cm3. The formation energy (no corrections) comes out at -1602.0 meV per atom.


Computed, not measured: crystalline TbCdS2 at its relaxed geometry at the PBE-GGA level of DFT.

The structure belongs to space group R-3m (No. 166, hexagonal axes); the cell edges are 3.9985, 3.9985 and 24.5208 Å and the angles 90.00°, 90.00° and 120.00°. The inequivalent atoms are Tb at (0.0000, 0.0000, 0.0000), Cd at (0.0000, 0.0000, 0.5000) and S at (0.0000, 0.0000, 0.3942).

For the mass density, the calculation gives 4.9 g/cm3. The formation energy (no corrections) comes out at -1216.6 meV per atom.


Computed, not measured: crystalline CdTc2S at its relaxed geometry at the PBE-GGA level of DFT.

The structure belongs to space group Fm-3m (No. 225); the cell edges are 6.245, 6.245 and 6.245 Å and the angles 90.00°, 90.00° and 90.00°. The inequivalent atoms are Cd at (0.000, 0.000, 0.000), Tc at (0.250, 0.250, 0.250) and S at (0.000, 0.000, 0.500).

For the mass density, the calculation gives 9.3 g/cm3. The formation energy (no corrections) comes out at 693.7 meV per atom.


Computed, not measured: crystalline CdTcS2 at its relaxed geometry at the PBE-GGA level of DFT.

The structure belongs to space group I-42d (No. 122); the cell edges are 5.789, 5.789 and 10.560 Å and the angles 90.00°, 90.00° and 90.00°. The inequivalent atoms are Cd at (0.000, 0.000, 0.000), Tc at (0.000, 0.000, 0.500) and S at (0.201, 0.250, 0.625).

For the mass density, the calculation gives 5.2 g/cm3. The formation energy (no corrections) comes out at -117.1 meV per atom.


Computed, not measured: crystalline Cd2TcS at its relaxed geometry at the PBE-GGA level of DFT.

The structure belongs to space group I-42d (No. 122); the cell edges are 8.861, 8.861 and 4.476 Å and the angles 90.00°, 90.00° and 90.00°. The inequivalent atoms are Cd at (0.156, 0.750, 0.125), Tc at (0.000, 0.000, 0.500) and S at (0.000, 0.000, 0.000).

For the mass density, the calculation gives 6.7 g/cm3. The formation energy (no corrections) comes out at 526.2 meV per atom.


Computed, not measured: crystalline CdTcS2 at its relaxed geometry at the PBE-GGA level of DFT.

The structure belongs to space group R-3m (No. 166, hexagonal axes); the cell edges are 3.0877, 3.0877 and 27.8933 Å and the angles 90.00°, 90.00° and 120.00°. The inequivalent atoms are Cd at (0.0000, 0.0000, 0.0000), Tc at (0.0000, 0.0000, 0.5000) and S at (0.0000, 0.0000, 0.1082).

For the mass density, the calculation gives 5.9 g/cm3. The formation energy (no corrections) comes out at -242.1 meV per atom.


Computed, not measured: crystalline CdTc2S at its relaxed geometry at the PBE-GGA level of DFT.

The structure belongs to space group I-42d (No. 122); the cell edges are 7.035, 7.035 and 5.447 Å and the angles 90.00°, 90.00° and 90.00°. The inequivalent atoms are Cd at (0.000, 0.000, 0.000), Tc at (0.169, 0.250, 0.625) and S at (0.000, 0.000, 0.500).

For the mass density, the calculation gives 8.4 g/cm3. The formation energy (no corrections) comes out at 381.7 meV per atom.


Computed, not measured: crystalline CdTcS2 at its relaxed geometry at the PBE-GGA level of DFT.

The structure belongs to space group R-3m (No. 166, hexagonal axes); the cell edges are 3.4329, 3.4329 and 23.8283 Å and the angles 90.00°, 90.00° and 120.00°. The inequivalent atoms are Cd at (0.0000, 0.0000, 0.0000), Tc at (0.0000, 0.0000, 0.5000) and S at (0.0000, 0.0000, 0.4069).

For the mass density, the calculation gives 5.6 g/cm3. The formation energy (no corrections) comes out at 382.1 meV per atom.


Computed, not measured: crystalline TiCd2TcS at its relaxed geometry at the PBE-GGA level of DFT.

The structure belongs to space group P4/mmm (No. 123); the cell edges are 4.998, 4.998 and 4.297 Å and the angles 90.00°, 90.00° and 90.00°. The inequivalent atoms are Ti at (0.000, 0.000, 0.000), Cd at (0.000, 0.500, 0.500), Tc at (0.500, 0.500, 0.000) and S at (0.500, 0.500, 0.500).

For the mass density, the calculation gives 6.2 g/cm3. The formation energy (no corrections) comes out at 796.1 meV per atom.


Computed, not measured: crystalline YCdTcS2 at its relaxed geometry at the PBE-GGA level of DFT.

The structure belongs to space group P4/mmm (No. 123); the cell edges are 4.628, 4.628 and 5.214 Å and the angles 90.00°, 90.00° and 90.00°. The inequivalent atoms are Y at (0.000, 0.000, 0.000), Cd at (0.500, 0.500, 0.000), Tc at (0.500, 0.500, 0.500) and S at (0.000, 0.500, 0.500).

For the mass density, the calculation gives 5.4 g/cm3. The formation energy (no corrections) comes out at -75.4 meV per atom.


Computed, not measured: crystalline ZrCdTcS2 at its relaxed geometry at the PBE-GGA level of DFT.

The structure belongs to space group P4/mmm (No. 123); the cell edges are 4.891, 4.891 and 5.712 Å and the angles 90.00°, 90.00° and 90.00°. The inequivalent atoms are Zr at (0.000, 0.000, 0.000), Cd at (0.000, 0.000, 0.500), Tc at (0.500, 0.500, 0.500) and S at (0.000, 0.500, 0.000).

For the mass density, the calculation gives 4.4 g/cm3. The formation energy (no corrections) comes out at 553.8 meV per atom.


The calculated total energy results, record by record, are as follows: -5.4759 -5.4142 -4.6667 -5.7500 -5.0011 -3.5547 -5.1261 -6.0620 -4.5019 -4.0476 -5.2755 -5.0631 eV per atom.